Material: LiTbAgPb
Method: DFT, PBE-GGA
State: relaxed

```
4
Lattice="5.073 0.000 0.000 2.537 4.394 0.000 2.537 1.465 4.142" Properties=species:S:1:pos:R:3 pbc="T T T"
Ag 5.073 2.929 2.071
Li 2.537 1.465 1.036
Tb 7.610 4.394 3.107
Pb 0.000 0.000 0.000
```

Summary:
- Calculated formation energy: -0.35 eV/atom
- Size of the total moment: 0.00 μB/f.u.
- DFT total energy: -0.1334 Ha/atom

=====

Material: LiTlAgPb
Method: DFT, PBE-GGA
State: relaxed

```
4
Lattice="-2.431 0.412 4.429 -4.933 -1.132 0.299 -1.499 -4.168 2.466" Properties=species:S:1:pos:R:3 pbc="T T T"
Ag -2.216 -1.222 1.798
Pb 0.000 0.000 0.000
Tl -4.432 -2.444 3.597
Li -6.648 -3.666 5.395
```

Summary:
- Calculated formation energy: -0.07 eV/atom
- Size of the total moment: 0.00 μB/f.u.
- DFT total energy: -0.1021 Ha/atom

=====

Material: LiTlAgPb2
Method: DFT, PBE-GGA
State: relaxed

```
5
Lattice="-0.963 -5.048 -0.264 4.221 -0.659 -2.794 2.728 -0.745 4.298" Properties=species:S:1:pos:R:3 pbc="T T T"
Ag 2.994 -3.226 0.620
Pb 1.364 -0.373 2.149
Tl 2.111 -0.329 -1.397
Pb -0.481 -2.524 -0.132
Li 0.000 0.000 0.000
```

Summary:
- Calculated formation energy: 0.24 eV/atom
- Size of the total moment: 0.00 μB/f.u.
- DFT total energy: -0.0983 Ha/atom

=====

Material: Li2TlAgPb
Method: DFT, PBE-GGA
State: relaxed

```
10
Lattice="-0.854 -6.530 2.123 2.048 -1.823 -4.782 5.582 0.042 2.374" Properties=species:S:1:pos:R:3 pbc="T T T"
Pb 3.600 -6.907 -0.591
Tl 1.004 -5.436 -2.263
Li 5.436 -3.121 -1.248
Li 2.751 -3.141 -2.390
Pb 3.176 -1.404 0.307
Ag 1.024 -0.911 -2.391
Li 4.025 -5.170 2.106
Tl 0.190 -2.917 -0.395
Ag 0.000 0.000 0.000
Li 1.340 -5.190 0.964
```

Summary:
- Relative energy among the computed polymorphs: 0 meV/atom
- Calculated formation energy: -0.10 eV/atom
- Size of the total moment: 0.00 μB/f.u.
- DFT total energy: -0.0972 Ha/atom

=====

Material: Li5Tl2AgPb2
Method: DFT, PBE-GGA
State: relaxed

```
20
Lattice="-0.311 1.685 3.150 -10.144 3.482 -2.865 -4.405 -9.159 4.464" Properties=species:S:1:pos:R:3 pbc="T T T"
Ag -7.274 -2.839 0.800
Ag 0.000 0.000 0.000
Tl -10.288 -5.631 1.996
Pb -3.139 -2.517 1.036
Tl -4.260 -0.046 -0.396
Li -3.846 -6.513 5.145
Pb -11.410 -3.161 0.563
Pb -7.102 -6.492 2.771
Li -8.407 -3.710 3.195
Pb -7.446 0.814 -1.171
Li -5.540 -2.783 2.983
Li -9.320 -1.209 1.767
Li -5.228 2.583 0.143
Tl -10.289 -0.295 -0.859
Li -2.358 -3.737 3.807
Tl -4.259 -5.382 2.458
Li -12.700 -5.385 3.667
Li -6.453 -0.283 1.555
Li -11.014 2.521 -0.396
Li -2.160 1.392 1.083
```

Summary:
- Calculated formation energy: -0.13 eV/atom
- Size of the total moment: 0.00 μB/f.u.
- DFT total energy: -0.0950 Ha/atom

=====

Material: Li2TlAgPb
Method: DFT, PBE-GGA
State: relaxed

```
5
Lattice="-2.535 1.849 -3.963 3.047 -2.782 -3.246 -3.243 -3.867 0.271" Properties=species:S:1:pos:R:3 pbc="T T T"
Li -1.267 0.924 -1.982
Li -1.622 -1.934 0.135
Pb -1.366 -2.401 -3.470
Ag 1.523 -1.391 -1.623
Tl 0.000 0.000 0.000
```

Summary:
- Relative energy among the computed polymorphs: 335 meV/atom
- Calculated formation energy: 0.24 eV/atom
- Size of the total moment: 0.00 μB/f.u.
- DFT total energy: -0.0849 Ha/atom

=====

Which value of calculated formation energy does entry 2 give? -0.07 eV/atom

=====

Which formula does entry 4 have? Li2TlAgPb